# 1
VASP calculation (PBE) on a geometry-optimized CeDyY2N4 structure.

Calculated values
total DFT energy (no corrections): -8.742 eV per atom
N(E_F): 3.45 states/eV/f.u.

Cell: 6.050 3.502 6.050 Å, 90.00 109.32 90.00°
Space group P2/m (No. 10)
Unique sites:
Ce: 0.000 0.000 0.000 [1 per cell]
Dy: 0.000 0.500 0.500 [1 per cell]
Y: 0.500 0.000 0.500 [1 per cell]
Y: 0.500 0.500 0.000 [1 per cell]
N: 0.247 0.000 0.751 [2 per cell]
N: 0.249 0.500 0.250 [2 per cell]


# 2
VASP calculation (PBE) on a geometry-optimized CeDy2ZrN4 structure.

Calculated values
total DFT energy (no corrections): -8.771 eV per atom
N(E_F): 3.79 states/eV/f.u.

Cell: 5.936 3.434 5.969 Å, 90.00 109.21 90.00°
Space group P2/m (No. 10)
Unique sites:
Ce: 0.000 0.000 0.000 [1 per cell]
Dy: 0.500 0.000 0.500 [1 per cell]
Dy: 0.500 0.500 0.000 [1 per cell]
Zr: 0.000 0.500 0.500 [1 per cell]
N: 0.237 0.000 0.737 [2 per cell]
N: 0.244 0.500 0.261 [2 per cell]


# 3
VASP calculation (PBE) on a geometry-optimized Ce2DyZrN4 structure.

Calculated values
total DFT energy (no corrections): -8.905 eV per atom
N(E_F): 5.37 states/eV/f.u.

Cell: 5.971 3.439 6.038 Å, 90.00 109.16 90.00°
Space group P2/m (No. 10)
Unique sites:
Ce: 0.000 0.000 0.000 [1 per cell]
Ce: 0.500 0.500 0.000 [1 per cell]
Dy: 0.000 0.500 0.500 [1 per cell]
Zr: 0.500 0.000 0.500 [1 per cell]
N: 0.258 0.000 0.737 [2 per cell]
N: 0.266 0.500 0.269 [2 per cell]


# 4
VASP calculation (PBE) on a geometry-optimized CeDy3Zr2N6 structure.

Calculated values
total DFT energy (no corrections): -8.908 eV per atom
N(E_F): 3.90 states/eV/f.u.

Cell: 14.870 3.400 6.838 Å, 90.00 103.29 90.00°
Space group C2/m (No. 12)
Unique sites:
Ce: 0.000 0.000 0.000 [2 per cell]
Dy: 0.000 0.000 0.500 [2 per cell]
Dy: 0.168 0.500 0.831 [4 per cell]
Zr: 0.169 0.500 0.339 [4 per cell]
N: 0.007 0.500 0.256 [4 per cell]
N: 0.169 0.000 0.099 [4 per cell]
N: 0.171 0.000 0.576 [4 per cell]


- Which of these has the lowest total DFT energy (no corrections)?
  CeDy3Zr2N6


- Which of these has the lowest total DFT energy (no corrections)?
  CeDy3Zr2N6